{
  "formula": "BaNa2PtI",
  "functional": "PBE-GGA",
  "state": "relaxed",
  "cell": [[-5.311, 0.925, 1.305], [0.189, -4.132, 3.696], [1.731, 3.905, 4.278]],
  "species": ["Ba", "I", "Na", "Na", "Pt"],
  "frac_coords": [[0.000, 0.000, 0.500], [0.500, 0.500, 0.500], [0.000, 0.500, 0.000], [0.500, 0.000, 0.000], [0.000, 0.000, 0.000]],
  "formation_energy_uncorrected_kj_per_mol_atoms": -56.1,
  "density_g_cm3": 4.5,
  "e_tot_ev_per_atom": -3.012
}

---

{
  "formula": "Cu4GeAu5",
  "functional": "PBE-GGA",
  "state": "relaxed",
  "cell": [[2.849, 0.000, 0.000], [0.000, 2.849, 0.000], [0.000, 0.000, 19.535]],
  "species": ["Cu", "Au", "Cu", "Au", "Ge", "Au", "Au", "Au", "Cu", "Cu"],
  "frac_coords": [[0.000, 0.000, 0.214], [0.500, 0.500, 0.691], [0.000, 0.000, 0.596], [0.500, 0.500, 0.881], [0.000, 0.000, 0.000], [0.500, 0.500, 0.500], [0.500, 0.500, 0.119], [0.500, 0.500, 0.309], [0.000, 0.000, 0.786], [0.000, 0.000, 0.404]],
  "formation_enthalpy_0k_kj_per_mol_atoms": 0,
  "density_g_cm3": 13.7,
  "e_tot_ev_per_atom": -3.744
}

---

{
  "formula": "NdSmAs2",
  "functional": "PBE-GGA",
  "state": "relaxed",
  "cell": [[4.201, 0.000, 0.000], [2.101, 3.638, 0.000], [2.101, 1.213, 7.231]],
  "species": ["As", "Nd", "Sm", "As"],
  "frac_coords": [[0.250, 0.250, 0.250], [0.669, 0.669, 0.993], [0.498, 0.498, 0.507], [0.083, 0.083, 0.750]],
  "formation_enthalpy_0k_kj_per_mol_atoms": -131,
  "density_g_cm3": 6.7,
  "e_tot_ev_per_atom": -6.058
}

---

{
  "formula": "NaLiHg4",
  "functional": "PBE-GGA",
  "state": "relaxed",
  "cell": [[3.440, 0.000, 0.995], [1.900, 5.213, -0.126], [-0.397, -1.440, 7.818]],
  "species": ["Hg", "Hg", "Li", "Na", "Hg", "Hg"],
  "frac_coords": [[0.695, 0.957, 0.654], [0.853, 0.477, 0.816], [0.500, 0.500, 0.500], [0.000, 0.000, 0.000], [0.305, 0.043, 0.346], [0.147, 0.523, 0.184]],
  "formation_enthalpy_0k_kj_per_mol_atoms": -23,
  "density_g_cm3": 9.9,
  "e_tot_ev_per_atom": -0.978
}

---

{
  "formula": "Ba3Tl6InHg2",
  "functional": "PBE-GGA",
  "state": "relaxed",
  "cell": [[-3.454, 4.329, -3.537], [-2.098, -1.787, 5.965], [5.893, 8.466, 4.609]],
  "species": ["Ba", "In", "Hg", "Tl", "Ba", "Tl", "Tl", "Tl", "Ba", "Hg", "Tl", "Tl"],
  "frac_coords": [[0.000, 0.000, 0.000], [0.000, 0.000, 0.500], [0.667, 0.333, 0.067], [0.660, 0.830, 0.268], [0.333, 0.667, 0.591], [0.170, 0.340, 0.268], [0.830, 0.660, 0.732], [0.830, 0.170, 0.732], [0.667, 0.333, 0.409], [0.333, 0.667, 0.933], [0.340, 0.170, 0.732], [0.170, 0.830, 0.268]],
  "formation_enthalpy_0k_kj_per_mol_atoms": -24,
  "density_g_cm3": 8.5,
  "e_tot_ev_per_atom": -2.187
}

---

{
  "formula": "Er2GaSe",
  "functional": "PBE-GGA",
  "state": "relaxed",
  "cell": [[-1.032, -3.658, -0.228], [-0.099, -2.150, 3.141], [-7.741, 0.071, 2.112]],
  "species": ["Er", "Se", "Ga", "Er"],
  "frac_coords": [[0.084, 0.084, 0.748], [0.499, 0.499, 0.503], [0.667, 0.667, 0.998], [0.250, 0.250, 0.251]],
  "formation_energy_uncorrected_kj_per_mol_atoms": -103.2,
  "density_g_cm3": 8.3,
  "e_tot_ev_per_atom": -4.979
}

---

{
  "formula": "BaCd8AgAu2",
  "functional": "PBE-GGA",
  "state": "relaxed",
  "cell": [[-5.168, -2.743, -1.562], [-0.650, -6.015, 0.259], [-4.804, -1.760, 8.758]],
  "species": ["Ag", "Cd", "Cd", "Cd", "Au", "Cd", "Cd", "Cd", "Cd", "Ba", "Cd", "Au"],
  "frac_coords": [[0.000, 0.000, 0.000], [0.709, 0.709, 0.006], [0.415, 0.916, 0.769], [0.318, 0.318, 0.501], [0.439, 0.439, 0.716], [0.585, 0.084, 0.231], [0.291, 0.291, 0.994], [0.916, 0.415, 0.769], [0.084, 0.585, 0.231], [0.000, 0.000, 0.500], [0.682, 0.682, 0.499], [0.561, 0.561, 0.284]],
  "formation_enthalpy_0k_kj_per_mol_atoms": -13,
  "density_g_cm3": 8.5,
  "e_tot_ev_per_atom": -1.687
}

---

{
  "formula": "RbLiB2Cl8",
  "functional": "PBE-GGA",
  "state": "relaxed",
  "cell": [[-3.571, -2.852, 4.011], [-0.261, -6.075, 0.058], [5.786, -3.221, 7.471]],
  "species": ["B", "Rb", "Li", "Cl", "B", "Cl", "Cl", "Cl", "Cl", "Cl", "Cl", "Cl"],
  "frac_coords": [[0.255, 0.255, 0.235], [0.500, 0.500, 0.500], [0.000, 0.000, 0.000], [0.986, 0.569, 0.172], [0.745, 0.745, 0.765], [0.812, 0.812, 0.565], [0.273, 0.986, 0.172], [0.727, 0.014, 0.828], [0.014, 0.431, 0.828], [0.431, 0.727, 0.828], [0.188, 0.188, 0.435], [0.569, 0.273, 0.172]],
  "formation_energy_uncorrected_kj_per_mol_atoms": -121.9,
  "density_g_cm3": 2.2,
  "e_tot_ev_per_atom": -3.848
}